DFT (PBE) results for crystalline LiScInFe at its relaxed geometry.

Cell: 4.6640 4.6640 4.6640 Å, 60.00 60.00 60.00°
Sites, in units of the cell vectors:
Fe (0.7500, 0.7500, 0.7500)
In (0.2500, 0.2500, 0.2500)
Li (0.0000, 0.0000, 0.0000)
Sc (0.5000, 0.5000, 0.5000)

Summary:
The space group is F-43m, No. 216.

DFT (PBE) results for crystalline LiTaInFe at its relaxed geometry.

Cell: 4.3841 4.3841 4.3841 Å, 60.00 60.00 60.00°
Sites, in units of the cell vectors:
Fe (0.7500, 0.7500, 0.7500)
In (0.0000, 0.0000, 0.0000)
Li (0.2500, 0.2500, 0.2500)
Ta (0.5000, 0.5000, 0.5000)

Summary:
The space group is F-43m, No. 216.

DFT (PBE) results for crystalline LiTaInFe at its relaxed geometry.

Cell: 4.5206 4.5206 4.5206 Å, 60.00 60.00 60.00°
Sites, in units of the cell vectors:
Fe (0.7500, 0.7500, 0.7500)
In (0.0000, 0.0000, 0.0000)
Li (0.5000, 0.5000, 0.5000)
Ta (0.2500, 0.2500, 0.2500)

Summary:
The space group is F-43m, No. 216.

Number 1: V 71.7 Å³/f.u., electronic total energy -4.739 eV per atom, magnetic moment 2.1 μB/cell. Number 2: V 59.6 Å³/f.u., electronic total energy -6.166 eV per atom, magnetic moment 1.0 μB/cell. Number 3: V 65.3 Å³/f.u., electronic total energy -5.661 eV per atom, magnetic moment 2.0 μB/cell.